This record from Alexandria via LeMat-Bulk describes a relaxed structure of VP2IO. The functional is PBE with a Hubbard U.

The total energy is -3.905 eV per atom. Its density of states at the Fermi level is 3.0 states/eV/cell.

abc: 4.3672 4.3672 5.5966
angles: 90.00 90.00 90.00
Closest atoms and distances in Å follow each position.
Space group P4/mmm (No. 123)
Symmetry-distinct sites (fractional):
1 V 0.0000 0.0000 0.0000 x1  4 P 2.18
2 P 0.0000 0.5000 0.0000 x2  2 V 2.18
3 I 0.0000 0.0000 0.5000 x1  2 V 2.80, 4 O 3.09
4 O 0.5000 0.5000 0.5000 x1  4 I 3.09